[1]
The following is a DFT calculation (PBE+U) of a geometry-optimized Mg2Co3CuO8 structure.

## Properties
magnetization	2.005	Bohr magnetons per cell
uncorrected energy	-81.318	eV for the cell shown
calculated volume	138.8	Å³ per cell
symmetry	R3m, No. 160
crystal system	trigonal

```
data_Mg2Co3CuO8
_cell_length_a 5.769
_cell_length_b 5.769
_cell_length_c 5.855
_cell_angle_alpha 60.49
_cell_angle_beta 60.49
_cell_angle_gamma 60.00
_symmetry_space_group_name_H-M 'P 1'
_symmetry_Int_Tables_number 1
loop_
_symmetry_equiv_pos_as_xyz
'x,y,z'
loop_
_atom_site_label
_atom_site_type_symbol
_atom_site_fract_x
_atom_site_fract_y
_atom_site_fract_z
_atom_site_occupancy
Mg1 Mg 0.121 0.121 0.637 1
Mg2 Mg 0.497 0.497 0.508 1
Co1 Co 0.499 0.000 0.002 1
Co2 Co 0.000 0.499 0.002 1
Co3 Co 0.499 0.499 0.002 1
Cu1 Cu 0.882 0.882 0.355 1
O1 O 0.262 0.262 0.215 1
O2 O 0.737 0.737 0.788 1
O3 O 0.253 0.253 0.786 1
O4 O 0.708 0.253 0.786 1
O5 O 0.253 0.708 0.786 1
O6 O 0.746 0.290 0.218 1
O7 O 0.290 0.746 0.218 1
O8 O 0.746 0.746 0.218 1
```

***

[2]
The following is a DFT calculation (PBE+U) of a geometry-optimized MgCo2CuO structure.

## Properties
magnetization	4.167	Bohr magnetons per cell
uncorrected energy	-18.558	eV for the cell shown
calculated volume	79.9	Å³ per cell
symmetry	P4/mmm, No. 123
crystal system	tetragonal

```
data_MgCo2CuO
_cell_length_a 4.705
_cell_length_b 3.609
_cell_length_c 4.705
_cell_angle_alpha 90.00
_cell_angle_beta 90.00
_cell_angle_gamma 90.00
_symmetry_space_group_name_H-M 'P 1'
_symmetry_Int_Tables_number 1
loop_
_symmetry_equiv_pos_as_xyz
'x,y,z'
loop_
_atom_site_label
_atom_site_type_symbol
_atom_site_fract_x
_atom_site_fract_y
_atom_site_fract_z
_atom_site_occupancy
Mg1 Mg 0.500 0.500 0.500 1
Co1 Co 0.000 0.000 0.500 1
Co2 Co 0.500 0.000 0.000 1
O1 O 0.000 0.500 0.000 1
Cu1 Cu 0.000 0.000 0.000 1
```